PaSn2Bi: relaxed, GGA-PBE.

Cell lengths 4.473, 4.477, 6.206 Å; angles 111.14, 111.13, 90.00 degrees
Positions (direct):
Sn: 0.250 0.750 0.500
Sn: 0.750 0.250 0.500
Pa: 0.000 0.000 0.000
Bi: 0.500 0.500 0.000

Computed properties:
Magnetization = 0.000 μB/atom
Uncorrected energy = -22.11 eV/cell
Mass density = 10.52 g/cm³
E_form = -181.5 meV/atom

---

Pa2SnBi: relaxed, GGA-PBE.

Cell lengths 3.299, 3.299, 11.967 Å; angles 82.08, 82.08, 60.00 degrees
Positions (direct):
Sn: 0.500 0.500 0.500
Pa: 0.910 0.910 0.270
Pa: 0.090 0.090 0.730
Bi: 0.000 0.000 0.000

Computed properties:
Magnetization = 0.001 μB/atom
Uncorrected energy = -26.38 eV/cell
Mass density = 11.78 g/cm³
E_form = 122.8 meV/atom

---

PaSnBi2: relaxed, GGA-PBE.

Cell lengths 4.204, 4.204, 10.353 Å; angles 78.29, 78.29, 60.00 degrees
Positions (direct):
Pa: 0.500 0.500 0.500
Sn: 0.000 0.000 0.000
Bi: 0.899 0.899 0.304
Bi: 0.101 0.101 0.696

Computed properties:
Magnetization = 0.000 μB/atom
Uncorrected energy = -19.82 eV/cell
Mass density = 8.28 g/cm³
E_form = 360.8 meV/atom

---

PaSn2Bi: relaxed, GGA-PBE.

Cell lengths 5.548, 5.548, 5.323 Å; angles 58.59, 58.59, 60.00 degrees
Last column: magnetic moment on the atom in μB.
Positions (direct):
Bi: 0.000 0.000 0.000  0.00
Pa: 0.500 0.500 0.500  0.94
Sn: 0.752 0.752 0.743  0.02
Sn: 0.248 0.248 0.257  0.02

Computed properties:
Magnetization = 0.280 μB/atom
Uncorrected energy = -20.72 eV/cell
Mass density = 9.93 g/cm³
E_form = 166.0 meV/atom

---

PaSnBi2: relaxed, GGA-PBE.

Cell lengths 4.684, 4.870, 4.870 Å; angles 90.00, 90.00, 90.00 degrees
Positions (direct):
Bi: 0.000 0.000 0.500
Bi: 0.000 0.500 0.000
Pa: 0.500 0.500 0.500
Sn: 0.500 0.000 0.000

Computed properties:
Magnetization = 0.000 μB/atom
Uncorrected energy = -21.82 eV/cell
Mass density = 11.47 g/cm³
E_form = -139.9 meV/atom

---

PaSnBi2: relaxed, GGA-PBE.

Cell lengths 5.881, 4.583, 4.597 Å; angles 89.03, 90.00, 90.00 degrees
Last column: magnetic moment on the atom in μB.
Positions (direct):
Bi: 0.000 0.248 0.252  -0.01
Bi: 0.000 0.752 0.748  -0.01
Sn: 0.500 0.500 0.000  -0.01
Pa: 0.500 0.000 0.500  0.50

Computed properties:
Magnetization = 0.137 μB/atom
Uncorrected energy = -20.91 eV/cell
Mass density = 10.29 g/cm³
E_form = 87.1 meV/atom